[1]
A relaxed InSi2As crystal. Source: Alexandria, functional PBE.

Results
Total energy = -4.13 eV per atom
Polymorph energy (0 for the lowest one) = 24.3 kJ per mole of atoms

```
InSi2As
1.0
-3.8942 -3.4125 1.8046
-0.2458 -4.7039 -2.8070
3.2760 3.1226 3.0958
As In Si
1 1 2
Cartesian
-1.8738 -3.6735 -0.4537
-1.3620 -2.2091 2.1953
-0.1846 -0.3619 -0.0447
0.4864 -2.8074 -0.1047
```

=====

[2]
A relaxed InSiAs3 crystal. Source: Alexandria, functional PBE.

Results
Total energy = -3.93 eV per atom
Polymorph energy (0 for the lowest one) = 0.0 kJ per mole of atoms

```
InSiAs3
1.0
-1.1447 -4.6604 -0.7724
0.1996 -0.8418 4.7830
-4.7197 1.0947 0.3896
As Si In
3 1 1
Cartesian
0.0998 -0.4209 2.3915
-2.3599 0.5473 0.1948
-0.5723 -2.3302 -0.3862
0.0000 0.0000 0.0000
-2.8324 -2.2037 2.2001
```

=====

[3]
A relaxed InSi2As crystal. Source: Alexandria, functional PBE.

Results
Total energy = -4.15 eV per atom
Polymorph energy (0 for the lowest one) = 22.8 kJ per mole of atoms

```
InSi2As
1.0
3.4566 0.0000 0.0000
0.0000 3.4566 0.0000
0.0000 0.0000 6.7279
As In Si
1 1 2
Cartesian
1.7283 1.7283 1.6820
1.7283 1.7283 5.0460
0.0000 0.0000 0.4084
0.0000 0.0000 2.9556
```

=====

[4]
A relaxed InSi2As crystal. Source: Alexandria, functional PBE.

Results
Total energy = -4.26 eV per atom
Polymorph energy (0 for the lowest one) = 12.0 kJ per mole of atoms

```
InSi2As
1.0
5.1094 0.0000 0.0000
0.0000 3.9936 -0.1068
0.0000 0.5255 3.9500
As In Si
1 1 2
Cartesian
0.0000 2.2873 1.9499
2.5547 3.2358 2.7548
0.0000 0.4203 0.3467
2.5547 0.8351 0.7134
```

=====

[5]
A relaxed InSiSnAs2 crystal. Source: Alexandria, functional PBE.

Results
Total energy = -3.18 eV per atom

```
InSiSnAs2
1.0
-1.5539 -2.2015 4.4427
2.2571 -4.8148 -1.5964
4.4857 1.3593 2.2426
As Si Sn In
2 1 1 1
Cartesian
2.2429 0.6796 1.1213
-0.7770 -1.1007 2.2213
2.5944 -2.8285 2.5444
1.1285 -2.4074 -0.7982
0.0000 0.0000 0.0000
```

=====

[6]
A relaxed InSi2TeAs crystal. Source: Alexandria, functional PBE.

Results
Total energy = -3.20 eV per atom

```
InSi2TeAs
1.0
5.3285 0.0000 0.0000
0.0000 5.3999 0.0000
0.0000 0.0000 5.3285
As Te Si In
1 1 2 1
Cartesian
0.0000 2.6999 0.0000
0.0000 0.0000 0.0000
0.0000 0.0000 2.6642
2.6642 0.0000 0.0000
2.6642 2.6999 2.6642
```

=====

[7]
A relaxed VInSiAs2 crystal. Source: Alexandria, functional PBE.

Results
Total energy = -4.22 eV per atom

```
VInSiAs2
1.0
4.8380 0.0000 0.0000
0.0000 4.9566 0.0000
0.0000 0.0000 4.8380
As V Si In
2 1 1 1
Cartesian
0.0000 0.0000 2.4190
2.4190 0.0000 0.0000
2.4190 2.4783 2.4190
0.0000 0.0000 0.0000
0.0000 2.4783 0.0000
```

=====

[8]
A relaxed Zn2InSiAs4 crystal. Source: Alexandria, functional PBE.

Results
Total energy = -3.81 eV per atom

```
Zn2InSiAs4
1.0
5.7509 0.2391 -0.0001
-0.2388 5.7510 -0.0001
-2.7562 -2.9951 5.8120
Zn In Si As
2 1 1 4
Cartesian
2.8754 0.1195 2.9064
-0.1194 2.8754 2.9064
2.7560 2.9949 5.8111
2.7561 2.9950 0.0011
1.2662 1.3760 4.3175
1.3792 4.2620 1.4952
4.1329 1.7280 1.4952
-1.2663 -1.3761 4.3175
```

=====

| no. | ΔE_f (raw) (kcal/mol of atoms) |
| --- | --- |
| 1 | 9.81 |
| 2 | 11.23 |
| 3 | 9.44 |
| 4 | 6.85 |
| 5 | 25.70 |
| 6 | 24.79 |
| 7 | 25.17 |
| 8 | -3.42 |